{
  "formula": "K2LiFeBi",
  "functional": "PBE",
  "state": "relaxed",
  "cell": [[6.154, 0.000, 0.000], [0.000, 6.154, 0.000], [0.000, 0.000, 4.541]],
  "species": ["K", "K", "Li", "Fe", "Bi"],
  "frac_coords": [[0.000, 0.500, 0.000], [0.500, 0.000, 0.000], [0.000, 0.000, 0.000], [0.000, 0.000, 0.500], [0.500, 0.500, 0.500]],
  "dos_ef_per_ev_atom": 1.1686,
  "rho_g_cm3": 3.4,
  "space_group": "P4/mmm (123)",
  "final_energy_ev_per_atom": -2.582,
  "delta_e_f_ev_per_atom": 0.71,
  "magmom_total_mub_per_cell": 2.69
}